Entry 1:
This record from Alexandria describes ScZnGe2 after structural relaxation. The functional is PBE.

The value obtained for the total energy is -4.385 eV/atom. The mass density comes out at 5729 kg/m3. As for the formation energy: -175 meV per atom.

It has space group R-3m (No. 166, hexagonal axes), with a = 4.2887 Å, b = 4.2887 Å, c = 13.9545 Å, α = 90.00°, β = 90.00° and γ = 120.00°. Symmetry generates all atoms from Sc at (0.0000, 0.0000, 0.0000), Zn at (0.0000, 0.0000, 0.5000) and Ge at (0.0000, 0.0000, 0.2337).

=====

Entry 2:
This record from Alexandria describes PPdPt3 after structural relaxation. The functional is PBE.

The value obtained for the total energy is -6.014 eV/atom. The distance to the lowest polymorph of the same formula is 0 meV/atom. The mass density comes out at 15162 kg/m3. As for the formation energy: -269 meV per atom.

It has space group C2/c (No. 15), with a = 10.0983 Å, b = 6.2625 Å, c = 10.2465 Å, α = 90.00°, β = 102.29° and γ = 90.00°. Symmetry generates all atoms from P at (0.0000, 0.1564, 0.2500), P at (0.2500, 0.2500, 0.0000), Pd at (0.0914, 0.1152, 0.6462), Pt at (0.0561, 0.3313, 0.0747), Pt at (0.1445, 0.4526, 0.8203) and Pt at (0.2056, 0.0925, 0.3984).

=====

Entry 3:
This record from Alexandria describes SmAgTe2 after structural relaxation. The functional is PBE.

The value obtained for the total energy is -4.387 eV/atom. For the uncorrected formation energy, the calculation gives -0.923 eV per atom. The mass density comes out at 6641 kg/m3.

It has space group Pnma (No. 62), with a = 15.4155 Å, b = 4.5578 Å, c = 7.3090 Å, α = 90.00°, β = 90.00° and γ = 90.00°. Symmetry generates all atoms from Sm at (0.1271, 0.2500, 0.0184), Ag at (0.0561, 0.7500, 0.3564), Te at (0.0482, 0.7500, 0.7544) and Te at (0.2229, 0.7500, 0.2153).

=====

Entry 4:
This record from Alexandria describes Be2NiIr after structural relaxation. The functional is PBE.

The value obtained for the total energy is -5.786 eV/atom. The distance to the lowest polymorph of the same formula is 314 meV/atom. The mass density comes out at 10349 kg/m3. As for the formation energy: -263 meV per atom.

It has space group Pmmm (No. 47), with a = 2.6438 Å, b = 3.5018 Å, c = 4.6608 Å, α = 90.00°, β = 90.00° and γ = 90.00°. Symmetry generates all atoms from Be at (0.0000, 0.0000, 0.2260), Ni at (0.0000, 0.5000, 0.5000) and Ir at (0.5000, 0.5000, 0.0000).